DFT (PBE-GGA) results for an optimized crystal structure of PuGa2Pt3.

Lattice parameters (Å, degrees): 7.2498 11.9323 5.4021 90.00 90.00 90.00
Closest atoms and distances in Å follow each position.
Space group Cmcm (No. 63)
Symmetry-distinct sites (fractional):
Pu (0.0000, 0.1873, 0.2500)  6 Pt 2.87-3.05
Ga (0.1933, 0.5000, 0.0000)  4 Pt 2.50-2.57, 2 Ga 2.70
Pt (0.0000, 0.3598, 0.7500)  4 Ga 2.57, 2 Pt 2.74
Pt (0.1913, 0.1620, 0.7500)  2 Ga 2.50, 2 Pt 2.74-2.77

Crystal system: orthorhombic
Calculated total energy: -7.00 eV per atom
Energy of formation from the pure elements: -0.580 eV/atom
V: 19.5 Å³ per atom

=====

DFT (PBE-GGA) results for an optimized crystal structure of Pu3Ga2Pt6.

Lattice parameters (Å, degrees): 9.5412 9.5412 9.5412 90.00 90.00 90.00
Closest atoms and distances in Å follow each position.
Space group Im-3m (No. 229)
Symmetry-distinct sites (fractional):
Pu (0.0000, 0.0000, 0.2877)  8 Pt 3.09-3.14, 4 Ga 3.39
Ga (0.2500, 0.2500, 0.2500)  6 Pt 2.60
Pt (0.0000, 0.3268, 0.3268)  2 Ga 2.60, 4 Pt 2.76

Crystal system: cubic
Calculated total energy: -8.49 eV per atom
Energy of formation from the pure elements: -0.740 eV/atom
V: 19.7 Å³ per atom